## Na2BiO3 (SCAN)

Data for Na2BiO3 at its PBEsol-relaxed geometry.

abc: 5.992 9.949 5.803
angles: 90.00 111.35 90.00
Space group C2/c (No. 15)
Unique sites:
Na1 0.000 0.082 0.250 x4
Na2 0.000 0.244 0.750 x4
Bi1 0.000 0.408 0.250 x4
O1 0.214 0.431 0.002 x8
O2 0.250 0.250 0.500 x4

Results
Raw formation energy (eV/atom): -1.45